{
  "formula": "KNa2Sr",
  "functional": "GGA-PBEsol",
  "state": "relaxed",
  "lattice": [[-4.976, 4.976, 3.984], [4.976, -4.976, 3.984], [4.976, 4.976, -3.984]],
  "species": ["K", "K", "Na", "Na", "Na", "Na", "Sr", "Sr"],
  "fractional_positions": [[0.000, 0.000, 0.000], [0.750, 0.250, 0.500], [0.114, 0.625, 0.989], [0.375, 0.364, 0.489], [0.636, 0.125, 0.011], [0.875, 0.886, 0.511], [0.250, 0.750, 0.500], [0.500, 0.500, 0.000]],
  "dos_at_fermi_per_ev_fu": 2.74,
  "delta_e_f_mev_per_atom": 170.9,
  "polymorph_energy_mev_per_atom": 102,
  "e_tot_ev_per_atom": -1.272
}

{
  "formula": "YScSi2W",
  "functional": "GGA-PBEsol",
  "state": "relaxed",
  "lattice": [[4.795, 0.000, 0.000], [0.000, 4.795, 0.000], [0.000, 0.000, 4.597]],
  "species": ["Y", "Sc", "Si", "Si", "W"],
  "fractional_positions": [[0.000, 0.000, 0.000], [0.500, 0.500, 0.500], [0.000, 0.500, 0.500], [0.500, 0.000, 0.500], [0.500, 0.500, 0.000]],
  "dos_at_fermi_per_ev_fu": 4.21,
  "e_form_raw_ev_per_atom": 0.897,
  "e_tot_ev_per_atom": -6.849
}

{
  "formula": "HgPtO2",
  "functional": "GGA-PBEsol",
  "state": "relaxed",
  "lattice": [[1.570, 0.907, 7.489], [-1.570, 0.907, 7.489], [0.000, -1.813, 7.489]],
  "species": ["Hg", "Pt", "O", "O"],
  "fractional_positions": [[0.000, 0.000, 0.000], [0.500, 0.500, 0.500], [0.125, 0.125, 0.125], [0.875, 0.875, 0.875]],
  "dos_at_fermi_per_ev_fu": 1.18,
  "e_form_raw_ev_per_atom": -0.341,
  "e_tot_ev_per_atom": -4.848
}

{
  "formula": "NaTi8O13",
  "functional": "GGA-PBEsol",
  "state": "relaxed",
  "lattice": [[3.835, 2.214, 4.658], [-3.835, 2.214, 4.658], [0.000, -4.428, 4.658]],
  "species": ["Na", "Ti", "Ti", "Ti", "Ti", "Ti", "Ti", "Ti", "Ti", "O", "O", "O", "O", "O", "O", "O", "O", "O", "O", "O", "O", "O"],
  "fractional_positions": [[0.000, 0.000, 0.000], [0.184, 0.624, 0.451], [0.230, 0.230, 0.230], [0.376, 0.549, 0.816], [0.451, 0.184, 0.624], [0.549, 0.816, 0.376], [0.624, 0.451, 0.184], [0.770, 0.770, 0.770], [0.816, 0.376, 0.549], [0.077, 0.670, 0.770], [0.143, 0.294, 0.550], [0.230, 0.923, 0.330], [0.294, 0.550, 0.143], [0.330, 0.230, 0.923], [0.450, 0.857, 0.706], [0.500, 0.500, 0.500], [0.550, 0.143, 0.294], [0.670, 0.770, 0.077], [0.706, 0.450, 0.857], [0.770, 0.077, 0.670], [0.857, 0.706, 0.450], [0.923, 0.330, 0.230]],
  "dos_at_fermi_per_ev_fu": 7.51,
  "e_form_raw_ev_per_atom": -2.895,
  "e_tot_ev_per_atom": -9.086
}

Copy entry 4 word for word.
{
  "formula": "NaTi8O13",
  "functional": "GGA-PBEsol",
  "state": "relaxed",
  "lattice": [[3.835, 2.214, 4.658], [-3.835, 2.214, 4.658], [0.000, -4.428, 4.658]],
  "species": ["Na", "Ti", "Ti", "Ti", "Ti", "Ti", "Ti", "Ti", "Ti", "O", "O", "O", "O", "O", "O", "O", "O", "O", "O", "O", "O", "O"],
  "fractional_positions": [[0.000, 0.000, 0.000], [0.184, 0.624, 0.451], [0.230, 0.230, 0.230], [0.376, 0.549, 0.816], [0.451, 0.184, 0.624], [0.549, 0.816, 0.376], [0.624, 0.451, 0.184], [0.770, 0.770, 0.770], [0.816, 0.376, 0.549], [0.077, 0.670, 0.770], [0.143, 0.294, 0.550], [0.230, 0.923, 0.330], [0.294, 0.550, 0.143], [0.330, 0.230, 0.923], [0.450, 0.857, 0.706], [0.500, 0.500, 0.500], [0.550, 0.143, 0.294], [0.670, 0.770, 0.077], [0.706, 0.450, 0.857], [0.770, 0.077, 0.670], [0.857, 0.706, 0.450], [0.923, 0.330, 0.230]],
  "dos_at_fermi_per_ev_fu": 7.51,
  "e_form_raw_ev_per_atom": -2.895,
  "e_tot_ev_per_atom": -9.086
}